# 1
This record from Alexandria describes Er4MnS7 at its PBEsol-relaxed geometry. The functional is meta-GGA SCAN.

## Properties
Its calculated total energy is -312.49 eV/f.u. The size of the total moment comes out at 5.00 Bohr magnetons per cell.

a b c (Å): 6.402 6.402 11.185
angles (deg): 104.49 104.49 33.79
Fractional positions:
1 Er 0.000 0.000 0.000
2 Er 0.386 0.386 0.595
3 Er 0.586 0.586 0.367
4 Er 0.694 0.694 0.808
5 Mn 0.816 0.816 0.224
6 S 0.033 0.033 0.748
7 S 0.216 0.216 0.312
8 S 0.356 0.356 0.850
9 S 0.429 0.429 0.151
10 S 0.662 0.662 0.030
11 S 0.731 0.731 0.587
12 S 0.957 0.957 0.441



# 2
This record from Alexandria describes ErMn2Si2 at its PBEsol-relaxed geometry. The functional is meta-GGA SCAN.

## Properties
Its calculated total energy is -110.45 eV/f.u. The size of the total moment comes out at 8.22 Bohr magnetons per cell.

a b c (Å): 3.823 3.823 10.178
angles (deg): 90.00 90.00 90.00
Fractional positions:
1 Er 0.000 0.000 0.000
2 Er 0.500 0.500 0.500
3 Mn 0.000 0.500 0.250
4 Mn 0.000 0.500 0.750
5 Mn 0.500 0.000 0.250
6 Mn 0.500 0.000 0.750
7 Si 0.000 0.000 0.381
8 Si 0.000 0.000 0.619
9 Si 0.500 0.500 0.119
10 Si 0.500 0.500 0.881



# 3
This record from Alexandria describes Er2Mn3Si5 at its PBEsol-relaxed geometry. The functional is meta-GGA SCAN.

## Properties
Its calculated total energy is -212.05 eV/f.u. The size of the total moment comes out at 3.37 Bohr magnetons per cell.

a b c (Å): 10.417 10.417 5.318
angles (deg): 90.00 90.00 90.00
Fractional positions:
1 Er 0.076 0.236 0.000
2 Er 0.236 0.924 0.000
3 Er 0.264 0.424 0.500
4 Er 0.424 0.736 0.500
5 Er 0.576 0.264 0.500
6 Er 0.736 0.576 0.500
7 Er 0.764 0.076 0.000
8 Er 0.924 0.764 0.000
9 Mn 0.000 0.500 0.250
10 Mn 0.000 0.500 0.750
11 Mn 0.121 0.854 0.500
12 Mn 0.146 0.121 0.500
13 Mn 0.354 0.621 0.000
14 Mn 0.379 0.354 0.000
15 Mn 0.500 0.000 0.250
16 Mn 0.500 0.000 0.750
17 Mn 0.621 0.646 0.000
18 Mn 0.646 0.379 0.000
19 Mn 0.854 0.879 0.500
20 Mn 0.879 0.146 0.500
21 Si 0.000 0.000 0.256
22 Si 0.000 0.000 0.744
23 Si 0.026 0.315 0.500
24 Si 0.174 0.674 0.250
25 Si 0.174 0.674 0.750
26 Si 0.185 0.474 0.000
27 Si 0.315 0.974 0.500
28 Si 0.326 0.174 0.250
29 Si 0.326 0.174 0.750
30 Si 0.474 0.815 0.000
31 Si 0.500 0.500 0.244
32 Si 0.500 0.500 0.756
33 Si 0.526 0.185 0.000
34 Si 0.674 0.826 0.250
35 Si 0.674 0.826 0.750
36 Si 0.685 0.026 0.500
37 Si 0.815 0.526 0.000
38 Si 0.826 0.326 0.250
39 Si 0.826 0.326 0.750
40 Si 0.974 0.685 0.500



# 4
This record from Alexandria describes ErMn6Sn6 at its PBEsol-relaxed geometry. The functional is meta-GGA SCAN.

## Properties
Its calculated total energy is -378.47 eV/f.u. The size of the total moment comes out at 13.85 Bohr magnetons per cell.

a b c (Å): 5.357 5.357 8.812
angles (deg): 90.00 90.00 120.00
Fractional positions:
1 Er 0.000 0.000 0.000
2 Mn 0.000 0.500 0.248
3 Mn 0.000 0.500 0.752
4 Mn 0.500 0.000 0.248
5 Mn 0.500 0.000 0.752
6 Mn 0.500 0.500 0.248
7 Mn 0.500 0.500 0.752
8 Sn 0.000 0.000 0.333
9 Sn 0.000 0.000 0.667
10 Sn 0.333 0.667 0.000
11 Sn 0.333 0.667 0.500
12 Sn 0.667 0.333 0.000
13 Sn 0.667 0.333 0.500



# 5
This record from Alexandria describes Er2MoO6 at its PBEsol-relaxed geometry. The functional is meta-GGA SCAN.

## Properties
Its calculated total energy is -202.29 eV/f.u. The size of the total moment comes out at 0.00 Bohr magnetons per cell.

a b c (Å): 9.716 9.716 5.265
angles (deg): 104.99 104.99 67.88
Fractional positions:
1 Er 0.051 0.284 0.878
2 Er 0.107 0.893 0.750
3 Er 0.284 0.051 0.378
4 Er 0.364 0.636 0.250
5 Er 0.636 0.364 0.750
6 Er 0.716 0.949 0.622
7 Er 0.893 0.107 0.250
8 Er 0.949 0.716 0.122
9 Mo 0.204 0.487 0.564
10 Mo 0.487 0.204 0.064
11 Mo 0.513 0.796 0.936
12 Mo 0.796 0.513 0.436
13 O 0.066 0.475 0.257
14 O 0.073 0.109 0.079
15 O 0.109 0.073 0.579
16 O 0.163 0.692 0.419
17 O 0.174 0.616 0.876
18 O 0.212 0.314 0.639
19 O 0.308 0.837 0.081
20 O 0.314 0.212 0.139
21 O 0.384 0.826 0.624
22 O 0.390 0.451 0.514
23 O 0.451 0.390 0.014
24 O 0.475 0.066 0.757
25 O 0.525 0.934 0.243
26 O 0.549 0.610 0.986
27 O 0.610 0.549 0.486
28 O 0.616 0.174 0.376
29 O 0.686 0.788 0.861
30 O 0.692 0.163 0.919
31 O 0.788 0.686 0.361
32 O 0.826 0.384 0.124
33 O 0.837 0.308 0.581
34 O 0.891 0.927 0.421
35 O 0.927 0.891 0.921
36 O 0.934 0.525 0.743



# 6
This record from Alexandria describes Er5Mo2O12 at its PBEsol-relaxed geometry. The functional is meta-GGA SCAN.

## Properties
Its calculated total energy is -461.00 eV/f.u. The size of the total moment comes out at 1.00 Bohr magnetons per cell.

a b c (Å): 6.656 6.656 7.400
angles (deg): 106.33 106.33 50.14
Fractional positions:
1 Er 0.000 0.000 0.000
2 Er 0.305 0.305 0.139
3 Er 0.315 0.315 0.679
4 Er 0.685 0.685 0.321
5 Er 0.695 0.695 0.861
6 Mo 0.219 0.781 0.500
7 Mo 0.781 0.219 0.500
8 O 0.001 0.001 0.294
9 O 0.092 0.577 0.416
10 O 0.098 0.593 0.926
11 O 0.407 0.902 0.074
12 O 0.423 0.908 0.584
13 O 0.499 0.499 0.314
14 O 0.501 0.501 0.686
15 O 0.577 0.092 0.416
16 O 0.593 0.098 0.926
17 O 0.902 0.407 0.074
18 O 0.908 0.423 0.584
19 O 0.999 0.999 0.706



# 7
This record from Alexandria describes RbErMo2O8 at its PBEsol-relaxed geometry. The functional is meta-GGA SCAN.

## Properties
Its calculated total energy is -222.42 eV/f.u. The size of the total moment comes out at 0.00 Bohr magnetons per cell.

a b c (Å): 7.354 7.354 7.591
angles (deg): 117.93 117.93 88.48
Fractional positions:
1 Rb 0.196 0.804 0.750
2 Rb 0.804 0.196 0.250
3 Er 0.230 0.770 0.250
4 Er 0.770 0.230 0.750
5 Mo 0.303 0.304 0.762
6 Mo 0.304 0.303 0.262
7 Mo 0.696 0.697 0.738
8 Mo 0.697 0.696 0.238
9 O 0.048 0.206 0.696
10 O 0.068 0.385 0.124
11 O 0.206 0.048 0.196
12 O 0.234 0.387 0.562
13 O 0.367 0.585 0.031
14 O 0.385 0.068 0.624
15 O 0.387 0.234 0.062
16 O 0.415 0.633 0.469
17 O 0.585 0.367 0.531
18 O 0.613 0.766 0.938
19 O 0.615 0.932 0.376
20 O 0.633 0.415 0.969
21 O 0.766 0.613 0.438
22 O 0.794 0.952 0.804
23 O 0.932 0.615 0.876
24 O 0.952 0.794 0.304



# 8
This record from Alexandria describes Sr2ErMoO6 at its PBEsol-relaxed geometry. The functional is meta-GGA SCAN.

## Properties
Its calculated total energy is -198.19 eV/f.u. The size of the total moment comes out at 2.00 Bohr magnetons per cell.

a b c (Å): 5.735 5.784 9.929
angles (deg): 90.00 125.03 90.00
Fractional positions:
1 Sr 0.243 0.034 0.250
2 Sr 0.243 0.466 0.750
3 Sr 0.757 0.534 0.250
4 Sr 0.757 0.966 0.750
5 Er 0.500 0.000 0.000
6 Er 0.500 0.500 0.500
7 Mo 0.000 0.000 0.500
8 Mo 0.000 0.500 0.000
9 O 0.160 0.228 0.961
10 O 0.160 0.272 0.461
11 O 0.235 0.701 0.964
12 O 0.235 0.799 0.464
13 O 0.306 0.017 0.735
14 O 0.306 0.483 0.235
15 O 0.694 0.517 0.765
16 O 0.694 0.983 0.265
17 O 0.765 0.201 0.536
18 O 0.765 0.299 0.036
19 O 0.840 0.728 0.539
20 O 0.840 0.772 0.039



> The lowest calculated total energy belongs to which entry?

Er5Mo2O12